(1)
# TaHPb

A relaxed TaHPb crystal (PBE, Alexandria).

Lattice parameters (Å, degrees): 3.143 4.898 7.268 83.13 77.51 89.93
Space group P-1 (No. 2)
Inequivalent atoms, fractional coordinates:
Ta 0.249 0.249 0.002 x2
H 0.322 0.618 0.857 x2
Pb 0.072 0.779 0.359 x2

## Properties
calculated total energy = -36.62 eV per cell
M_tot = 0.000 μB/atom


(2)
# Li4U3MnN8

A relaxed Li4U3MnN8 crystal (PBE, Alexandria).

Lattice parameters (Å, degrees): 11.443 6.458 6.164 90.00 117.99 90.00
Space group C2/m (No. 12)
Inequivalent atoms, fractional coordinates:
Li 0.000 0.000 0.000 x2
Li 0.000 0.500 0.000 x2
Li 0.250 0.250 0.500 x4
U 0.000 0.000 0.500 x2
U 0.250 0.250 0.000 x4
Mn 0.000 0.500 0.500 x2
N 0.027 0.261 0.741 x8
N 0.224 0.000 0.198 x4
N 0.226 0.000 0.739 x4

## Properties
calculated total energy = -263.94 eV per cell
formation energy without anion corrections = -0.92 eV/atom
M_tot = 0.184 μB/atom


(3)
# Hf4Mn2Ge5

A relaxed Hf4Mn2Ge5 crystal (PBE, Alexandria).

Lattice parameters (Å, degrees): 8.221 17.045 5.296 90.00 90.00 90.00
Space group Ibam (No. 72)
Inequivalent atoms, fractional coordinates:
Hf 0.104 0.145 0.000 x8
Hf 0.230 0.439 0.000 x8
Mn 0.000 0.302 0.250 x8
Ge 0.000 0.000 0.250 x4
Ge 0.097 0.419 0.500 x8
Ge 0.204 0.216 0.500 x8

## Properties
calculated total energy = -347.56 eV per cell
M_tot = 0.396 μB/atom
ΔE_f = -0.514 eV per atom


(4)
# TbAg2Te2

A relaxed TbAg2Te2 crystal (PBE, Alexandria).

Lattice parameters (Å, degrees): 9.092 13.335 6.181 90.00 132.19 90.00
Space group C2/c (No. 15)
Inequivalent atoms, fractional coordinates:
Tb 0.000 0.114 0.250 x4
Ag 0.178 0.464 0.773 x8
Te 0.000 0.142 0.750 x4
Te 0.000 0.352 0.250 x4

## Properties
calculated total energy = -76.22 eV per cell
formation energy without anion corrections = -0.49 eV/atom
M_tot = 0.000 μB/atom


(5)
# ZrTlHg2

A relaxed ZrTlHg2 crystal (PBE, Alexandria).

Lattice parameters (Å, degrees): 4.381 4.381 9.626 90.00 90.00 90.00
Space group I4/mmm (No. 139)
Inequivalent atoms, fractional coordinates:
Zr 0.000 0.000 0.000 x2
Tl 0.000 0.000 0.500 x2
Hg 0.000 0.500 0.250 x4

## Properties
calculated total energy = -22.68 eV per cell
M_tot = 0.000 μB/atom
ΔE_f = 0.045 eV per atom


(6)
# SmEr7Sc3

A relaxed SmEr7Sc3 crystal (PBE, Alexandria).

Lattice parameters (Å, degrees): 6.9114 6.9114 8.2146 90.00 90.00 120.00
Space group P3m1 (No. 156)
Inequivalent atoms, fractional coordinates:
Sm 0.0000 0.0000 0.0000 x1
Er 0.0028 0.5014 0.9905 x3
Er 0.3308 0.1654 0.3424 x3
Er 0.3333 0.6667 0.3341 x1
Sc 0.1676 0.3351 0.6652 x3

## Properties
calculated total energy = -53.18 eV per cell
M_tot = 0.002 μB/atom
ΔE_f = 0.225 eV per atom


(7)
# CuAg2Rh

A relaxed CuAg2Rh crystal (PBE, Alexandria).

Lattice parameters (Å, degrees): 9.439 2.782 4.840 90.00 100.81 90.00
Space group C2/m (No. 12)
Inequivalent atoms, fractional coordinates:
Cu 0.000 0.000 0.000 x2
Ag 0.247 0.500 0.247 x4
Rh 0.000 0.500 0.500 x2

## Properties
calculated total energy = -32.64 eV per cell
M_tot = 0.135 μB/atom
ΔE_f = 0.207 eV per atom


(8)
# TlBiCl2

A relaxed TlBiCl2 crystal (PBE, Alexandria).

Lattice parameters (Å, degrees): 3.7993 3.7993 29.6629 90.00 90.00 120.00
Space group R-3m (No. 166, hexagonal axes)
Inequivalent atoms, fractional coordinates:
Tl 0.0000 0.0000 0.0000 x3
Bi 0.0000 0.0000 0.5000 x3
Cl 0.0000 0.0000 0.4083 x6

## Properties
calculated total energy = -37.72 eV per cell
formation energy without anion corrections = -0.66 eV/atom
M_tot = 0.000 μB/atom